Entry from Alexandria: a relaxed structure of YTlTc (PBE).

POSCAR file:
```
YTlTc
1.0
6.7070 0.0000 0.0000
0.0000 6.7070 0.0000
0.0000 0.0000 6.7070
Y Tl Tc
4 4 4
direct
0.0000 0.0000 0.0000 Y
0.0000 0.5000 0.5000 Y
0.5000 0.0000 0.5000 Y
0.5000 0.5000 0.0000 Y
0.0000 0.0000 0.5000 Tl
0.0000 0.5000 0.0000 Tl
0.5000 0.0000 0.0000 Tl
0.5000 0.5000 0.5000 Tl
0.2500 0.2500 0.2500 Tc
0.2500 0.7500 0.7500 Tc
0.7500 0.2500 0.7500 Tc
0.7500 0.7500 0.2500 Tc
```

Summary:
Formation energy from the elements in eV per atom: 0.466
Calculated total energy in eV per atom: -5.933
Energy relative to the lowest polymorph listed for this composition in meV/atom: 310.7